(1)
Material: Dy2YTm5In
Method: DFT, PBE-GGA
State: optimized geometry

* ΔH_f (0 K): -0.02 kcal/mol of atoms
* crystal system: orthorhombic

Unit cell a=5.2934 b=19.9010 c=10.4105 alpha=90.00 beta=90.00 gamma=90.00
Space group Cmcm (No. 63)
Symmetry-distinct sites (fractional):
Dy1 0.0000 0.1162 0.0410
Y1 0.0000 0.2080 0.7500
Tm1 0.0000 0.0113 0.7500
Tm2 0.0000 0.2898 0.0491
Tm3 0.0000 0.3842 0.7500
Tm4 0.0000 0.5000 0.0000
In1 0.0000 0.4047 0.2500

***

(2)
Material: K2UMn2Se4
Method: DFT, PBE-GGA
State: optimized geometry

* formation energy (no corrections): -0.90 eV per atom
* crystal system: monoclinic

Unit cell a=15.1419 b=4.1098 c=8.0333 alpha=90.00 beta=108.73 gamma=90.00
Space group C2/m (No. 12)
Symmetry-distinct sites (fractional):
K1 0.1328 0.0000 0.0582
U1 0.0000 0.0000 0.5000
Mn1 0.1728 0.5000 0.4793
Se1 0.0154 0.5000 0.2557
Se2 0.2013 0.0000 0.6785

***

(3)
Material: AlInAg2
Method: DFT, PBE-GGA
State: optimized geometry

* ΔH_f (0 K): 1.15 kcal/mol of atoms
* crystal system: trigonal

Unit cell a=3.1756 b=3.1756 c=26.6194 alpha=90.00 beta=90.00 gamma=120.00
Space group R-3m (No. 166, hexagonal axes)
Symmetry-distinct sites (fractional):
Al1 0.0000 0.0000 0.0000
In1 0.0000 0.0000 0.5000
Ag1 0.0000 0.0000 0.2566